1.
Material: Cd2TcIr
Method: DFT, meta-GGA SCAN
State: PBEsol geometry

Calculated values
For the polymorph energy (0 for the lowest one), the calculation gives 0.158 eV per atom. For the energy relative to the elements, the calculation gives 0.425 eV per atom. For the total magnetic moment, the calculation gives 3.069 μB per formula unit. As for the total energy: -165.29 eV per cell. Its crystal system is tetragonal.

Cell lengths 3.9634, 3.9634, 5.0621 Å; angles 113.05, 113.05, 90.00 degrees
Fractional positions:
Cd1 0.7500 0.2500 0.5000
Cd2 0.2500 0.7500 0.5000
Ir1 0.5000 0.5000 0.0000
Tc1 0.0000 0.0000 0.0000

2.
Material: CdTcIr
Method: DFT, meta-GGA SCAN
State: PBEsol geometry

Calculated values
For the polymorph energy (0 for the lowest one), the calculation gives 0.102 eV per atom. For the energy relative to the elements, the calculation gives 0.102 eV per atom. For the total magnetic moment, the calculation gives 0.000 μB per formula unit. As for the total energy: -136.27 eV per cell. Its crystal system is trigonal.

Cell lengths 2.7715, 2.7715, 6.9777 Å; angles 90.00, 90.00, 120.00 degrees
Fractional positions:
Tc1 0.6667 0.3333 0.3537
Ir1 0.3333 0.6667 0.6459
Cd1 0.0000 0.0000 0.0004

3.
Material: CdTcIr
Method: DFT, meta-GGA SCAN
State: PBEsol geometry

Calculated values
For the polymorph energy (0 for the lowest one), the calculation gives 0.000 eV per atom. For the energy relative to the elements, the calculation gives -0.001 eV per atom. For the total magnetic moment, the calculation gives 0.000 μB per formula unit. As for the total energy: -136.58 eV per cell. Its crystal system is tetragonal.

Cell lengths 2.7929, 2.7929, 6.3166 Å; angles 102.77, 102.77, 90.00 degrees
Fractional positions:
Cd1 0.0005 0.0005 0.0010
Ir1 0.6810 0.6810 0.3621
Tc1 0.3185 0.3185 0.6369

4.
Material: Cd2TeIr
Method: DFT, meta-GGA SCAN
State: PBEsol geometry

Calculated values
As for the uncorrected formation energy: 0.393 eV per atom. For the total magnetic moment, the calculation gives 0.000 μB per formula unit. As for the total energy: -167.61 eV per cell. Its crystal system is cubic.

Cell lengths 4.7936, 4.7936, 4.7936 Å; angles 60.00, 60.00, 60.00 degrees
Fractional positions:
Cd1 0.0000 0.0000 0.0000
Ir1 0.5000 0.5000 0.5000
Te1 0.2500 0.2500 0.2500
Cd2 0.7500 0.7500 0.7500

What is the formula in the fourth record?
Cd2TeIr

Which of these has the highest total magnetic moment?
Cd2TcIr

Among the records above, which one has the highest total magnetic moment?
Cd2TcIr